Crystalline Ca2ScRuAu at its relaxed geometry, computed with PBE-GGA.

Electronic total energy (eV per atom): -4.113
Energy of formation from the pure elements (eV per atom): 0.464
Space group: P4/mmm

Cell: 5.167 5.230 5.167 Å, 90.00 90.00 90.00°
Sites, in units of the cell vectors:
Ru: 0.000 0.000 0.000
Sc: 0.500 0.500 0.500
Ca: 0.500 0.000 0.000
Ca: 0.000 0.000 0.500
Au: 0.000 0.500 0.000